1.
Density functional theory data (PBE-GGA) for a geometry-optimized V4CoNi5 structure.

Cell: 4.122 8.104 7.418 Å, 90.00 90.00 90.00°
Fractional positions:
V 0.249 0.816 0.000
Ni 0.484 0.000 0.500
V 0.751 0.684 0.500
V 0.090 0.500 0.797
V 0.249 0.184 0.000
V 0.910 0.000 0.703
V 0.090 0.500 0.203
Co 0.295 0.500 0.500
Ni 0.748 0.732 0.165
Ni 0.252 0.232 0.665
Ni 0.748 0.268 0.835
V 0.910 0.000 0.297
V 0.751 0.316 0.500
Ni 0.748 0.268 0.165
Ni 0.516 0.500 0.000
Co 0.705 0.000 0.000
Ni 0.748 0.732 0.835
Ni 0.252 0.768 0.335
Ni 0.252 0.768 0.665
Ni 0.252 0.232 0.335

Calculated values
Formation enthalpy at 0 K = -0.013 eV/f.u.
Symmetry = Pmmn, No. 59


2.
Density functional theory data (PBE-GGA) for a geometry-optimized Na2H2SeI2 structure.

Cell: 4.412 6.815 8.420 Å, 55.57 97.55 77.97°
Fractional positions:
Na 0.539 0.048 0.211
H 0.960 0.317 0.842
Se 0.000 0.000 0.000
Na 0.461 0.952 0.789
H 0.040 0.683 0.158
I 0.975 0.658 0.682
I 0.025 0.342 0.318

Calculated values
Symmetry = P-1, No. 2


3.
Density functional theory data (PBE-GGA) for a geometry-optimized NbFeP2Cl structure.

Cell: 4.851 4.851 4.808 Å, 90.00 90.00 90.00°
Fractional positions:
Fe 0.500 0.500 0.500
P 0.500 0.000 0.000
Nb 0.000 0.000 0.000
P 0.000 0.500 0.000
Cl 0.000 0.000 0.500

Calculated values
Formation energy (no corrections) = 0.574 eV/atom
Symmetry = P4/mmm, No. 123
Distance to the lowest polymorph of the same formula = 0 meV per atom


4.
Density functional theory data (PBE-GGA) for a geometry-optimized Cr3BRh structure.

Cell: 3.878 3.878 3.878 Å, 90.00 90.00 90.00°
Fractional positions:
B 0.000 0.000 0.000
Cr 0.500 0.000 0.000
Cr 0.000 0.500 0.000
Cr 0.000 0.000 0.500
Rh 0.500 0.500 0.500

Calculated values
Formation enthalpy at 0 K = 0.858 eV/f.u.
Symmetry = Pm-3m, No. 221
Distance to the lowest polymorph of the same formula = 0 meV per atom


no.,electronic total energy (eV per atom)
1,-7.250
2,-2.796
3,-5.665
4,-8.408